The following is a PBE calculation of ZrCrPt2 after structural relaxation, from Alexandria via LeMat-Bulk.

The structure in CIF format:
```
data_ZrCrPt2
_cell_length_a 3.9832
_cell_length_b 3.9832
_cell_length_c 8.3982
_cell_angle_alpha 90.00
_cell_angle_beta 90.00
_cell_angle_gamma 90.00
_symmetry_space_group_name_H-M 'I -4 m 2'
_symmetry_Int_Tables_number 119
_symmetry_space_group_name_Hall 'I -4 -2'
loop_
_atom_site_label
_atom_site_type_symbol
_atom_site_fract_x
_atom_site_fract_y
_atom_site_fract_z
Zr1 Zr 0.0000 0.0000 0.0000
Cr1 Cr 0.0000 0.5000 0.7500
Pt1 Pt 0.0000 0.0000 0.5000
Pt2 Pt 0.0000 0.5000 0.2500
```

## Properties
total energy = -65.6 eV for the cell shown
formation energy from the elements = -639 meV/atom
size of the total moment = 3.7 μB/f.u.